[1]
DFT (GGA-PBE) results for a relaxed ErTmRh2 crystal.

total energy: -26.2 eV per cell
formation energy from the elements: -0.623 eV per atom
SG: R-3m, No. 166
DOS at the Fermi energy: 0.36 states/eV per cell

Cell lengths 3.9079, 3.9079, 6.8819 Å; angles 73.51, 73.51, 60.00 degrees
With the nearest neighbours (Å) after each atom.
Sites, in units of the cell vectors:
Tm 0.0000 0.0000 0.0000  6 Rh 2.77
Rh 0.7493 0.7493 0.7522  3 Tm 2.77, 3 Er 2.79
Rh 0.2507 0.2507 0.2478  3 Tm 2.77, 3 Er 2.79
Er 0.5000 0.5000 0.5000  6 Rh 2.79


[2]
DFT (GGA-PBE) results for a relaxed Er3TmRh4 crystal.

total energy: -110.2 eV per cell
formation energy from the elements: -0.944 eV per atom
SG: P4/mmm, No. 123
DOS at the Fermi energy: 7.99 states/eV per cell

Cell lengths 4.8255, 6.6872, 9.6519 Å; angles 90.00, 90.00, 90.00 degrees
With the nearest neighbours (Å) after each atom.
Sites, in units of the cell vectors:
Tm 0.0000 0.5000 0.0000  8 Rh 2.93
Tm 0.0000 0.5000 0.5000  8 Rh 2.93
Rh 0.5000 0.7493 0.0000  2 Tm 2.93, 6 Er 2.93-2.94
Rh 0.5000 0.7493 0.5000  2 Tm 2.93, 6 Er 2.93-2.94
Rh 0.5000 0.2507 0.0000  2 Tm 2.93, 6 Er 2.93-2.94
Rh 0.5000 0.2507 0.5000  2 Tm 2.93, 6 Er 2.93-2.94
Rh 0.0004 0.7493 0.7500  6 Er 2.93-2.94, 2 Tm 2.93
Rh 0.9996 0.7493 0.2500  6 Er 2.93-2.94, 2 Tm 2.93
Rh 0.9996 0.2507 0.2500  6 Er 2.93-2.94, 2 Tm 2.93
Rh 0.0004 0.2507 0.7500  6 Er 2.93-2.94, 2 Tm 2.93
Er 0.0000 0.0000 0.0000  8 Rh 2.94
Er 0.0000 0.0000 0.5000  8 Rh 2.94
Er 0.5003 0.0000 0.7500  8 Rh 2.94
Er 0.4997 0.0000 0.2500  8 Rh 2.94
Er 0.5003 0.5000 0.7500  8 Rh 2.93
Er 0.4997 0.5000 0.2500  8 Rh 2.93


[3]
DFT (GGA-PBE) results for a relaxed ErTm4Rh2 crystal.

total energy: -82.0 eV per cell
formation energy from the elements: -0.548 eV per atom
SG: P1, No. 1
DOS at the Fermi energy: 13.64 states/eV per cell

Cell lengths 7.5380, 6.3508, 9.2159 Å; angles 117.54, 112.34, 72.45 degrees
With the nearest neighbours (Å) after each atom.
Sites, in units of the cell vectors:
Er 0.1321 0.6071 0.4647  3 Rh 2.76-2.87
Er 0.2183 0.4464 0.0721  1 Rh 2.78
Tm 0.9726 0.0653 0.3049  3 Rh 2.65-2.95
Tm 0.6402 0.5571 0.4397  4 Rh 2.83-3.01
Tm 0.7825 0.7586 0.8728  3 Rh 2.80-2.93
Tm 0.8503 0.1238 0.6589  3 Rh 2.79-2.82
Tm 0.4215 0.0660 0.3255  3 Rh 2.66-2.92
Tm 0.3648 0.1187 0.7000  2 Rh 2.77-2.82
Tm 0.2871 0.7882 0.8920  3 Rh 2.82-2.92
Tm 0.7190 0.3952 0.0359  2 Rh 2.67-2.73
Rh 0.5021 0.4540 0.6641  6 Tm 2.80-3.01, 1 Er 2.87
Rh 0.7678 0.8006 0.3152  5 Tm 2.65-2.83, 1 Er 2.76
Rh 0.5628 0.1289 0.1054  6 Tm 2.73-3.01, 1 Er 2.78
Rh 0.0290 0.4401 0.6487  6 Tm 2.77-2.93, 1 Er 2.79


[4]
DFT (GGA-PBE) results for a relaxed Er2TmRh crystal.

total energy: -22.6 eV per cell
formation energy from the elements: -0.425 eV per atom
SG: P4/mmm, No. 123
DOS at the Fermi energy: 5.60 states/eV per cell

Cell lengths 3.4720, 3.4720, 8.4348 Å; angles 90.00, 90.00, 90.00 degrees
With the nearest neighbours (Å) after each atom.
Sites, in units of the cell vectors:
Tm 0.5000 0.5000 0.5000  4 Tm 3.47, 8 Er 3.58
Rh 0.5000 0.5000 0.0000  8 Er 2.94
Er 0.0000 0.0000 0.8087  4 Rh 2.94, 1 Er 3.23
Er 0.0000 0.0000 0.1913  4 Rh 2.94, 1 Er 3.23


[5]
DFT (GGA-PBE) results for a relaxed Er2Tm2Rh crystal.

total energy: -54.2 eV per cell
formation energy from the elements: -0.338 eV per atom
SG: C2/m, No. 12
DOS at the Fermi energy: 12.21 states/eV per cell

Cell lengths 7.3342, 6.8535, 7.7526 Å; angles 73.40, 57.72, 57.65 degrees
With the nearest neighbours (Å) after each atom.
Sites, in units of the cell vectors:
Er 0.8349 0.0000 0.4009  2 Rh 3.04, 1 Er 3.29
Er 0.6398 0.0000 0.1043  2 Rh 2.74
Er 0.3602 0.0000 0.8957  2 Rh 2.74
Er 0.1651 0.0000 0.5991  2 Rh 3.04, 1 Er 3.29
Tm 0.5727 0.4409 0.7512  1 Rh 2.65
Tm 0.4273 0.5591 0.2488  1 Rh 2.65
Tm 0.0136 0.5591 0.7512  1 Rh 2.65
Tm 0.9864 0.4409 0.2488  1 Rh 2.65
Rh 0.1270 0.7460 0.0000  2 Tm 2.65, 2 Er 2.74, 1 Rh 2.94
Rh 0.8730 0.2540 0.0000  2 Tm 2.65, 2 Er 2.74, 1 Rh 2.94


[6]
DFT (GGA-PBE) results for a relaxed Er2TmRh9 crystal.

total energy: -86.7 eV per cell
formation energy from the elements: -0.576 eV per atom
SG: R-3m, No. 166
DOS at the Fermi energy: 12.50 states/eV per cell

Cell lengths 5.2303, 5.2303, 9.2687 Å; angles 73.61, 73.61, 60.00 degrees
With the nearest neighbours (Å) after each atom.
Sites, in units of the cell vectors:
Er 0.8611 0.8611 0.4166  12 Rh 3.00-3.30, 3 Er 3.36
Er 0.1389 0.1389 0.5834  12 Rh 3.00-3.30, 3 Er 3.36
Tm 0.0000 0.0000 0.0000  6 Rh 3.02
Rh 0.6669 0.6669 0.9994  6 Rh 2.64-2.66
Rh 0.3331 0.3331 0.0006  6 Rh 2.64-2.66
Rh 0.5000 0.5000 0.5000  6 Rh 2.67
Rh 0.4168 0.4168 0.2486  7 Rh 2.61-2.67
Rh 0.9178 0.4168 0.2486  7 Rh 2.61-2.67
Rh 0.4168 0.9178 0.2486  7 Rh 2.61-2.67
Rh 0.5832 0.5832 0.7514  7 Rh 2.61-2.67
Rh 0.5832 0.0822 0.7514  7 Rh 2.61-2.67
Rh 0.0822 0.5832 0.7514  7 Rh 2.61-2.67